Entry 1:
The following is a PBE with a Hubbard U calculation of crystalline NaCa3MgFeSi4O14 at its relaxed geometry, from Alexandria via LeMat-Bulk.

Structure (extended XYZ):
```
24
Lattice="-2.592 -3.326 -2.897 1.958 -5.862 4.837 -6.738 1.053 4.126" Properties=species:S:1:pos:R:3 pbc="T T T"
O -4.696 -6.832 4.821
O -0.277 -4.399 2.685
O -4.151 -3.091 0.143
O -3.223 -3.939 5.223
O -7.742 -4.728 4.198
O -1.224 -7.521 2.003
O -4.153 -5.287 7.264
O -5.525 -1.958 4.431
O -1.804 -5.840 6.284
O -2.896 -2.129 2.593
O -7.960 -2.726 2.544
O -5.795 -4.215 2.605
O -3.047 -5.662 1.652
O -1.513 -1.139 0.640
Si -7.430 -4.304 2.601
Si -2.355 -0.694 1.999
Si -2.140 -6.763 0.861
Si -2.777 -4.528 6.672
Fe -0.025 -0.115 0.054
Mg -4.989 -5.671 1.573
Ca -5.366 -1.930 2.007
Ca -5.487 -4.496 5.147
Ca -1.949 -3.559 0.957
Na -1.952 -6.087 3.830
```

Results
SG ... P1 (1)
Raw total energy ... -7.14 eV per atom

***

Entry 2:
The following is a PBE with a Hubbard U calculation of crystalline NaCaMgFeSi4O12 at its relaxed geometry, from Alexandria via LeMat-Bulk.

Structure (extended XYZ):
```
20
Lattice="5.343 0.004 0.004 1.438 6.501 0.001 1.438 0.310 6.494" Properties=species:S:1:pos:R:3 pbc="T T T"
O 3.252 4.505 4.170
O 4.672 6.551 5.204
O 0.966 0.275 1.276
O 4.820 5.934 2.511
O 2.182 2.795 5.762
O 5.889 4.324 4.295
O 3.400 4.025 0.691
O 3.548 1.306 0.202
O 4.968 2.436 2.197
O 2.331 2.319 2.384
O 6.038 0.927 3.981
O 7.254 5.527 6.284
Si 3.579 2.533 1.282
Si 7.285 4.289 5.221
Si 4.641 5.414 4.029
Si 0.934 1.396 2.463
Mg 1.438 0.884 5.892
Fe 4.110 5.878 0.659
Na 1.438 4.655 1.937
Ca 4.110 2.173 4.544
```

Results
SG ... C2 (5)
Raw total energy ... -7.24 eV per atom

***

Entry 3:
The following is a PBE with a Hubbard U calculation of crystalline CaMg30FeO32 at its relaxed geometry, from Alexandria via LeMat-Bulk.

Structure (extended XYZ):
```
64
Lattice="-2.240 -8.243 0.588 0.621 0.439 8.528 -8.250 2.277 0.484" Properties=species:S:1:pos:R:3 pbc="T T T"
O -7.716 -4.363 2.937
O -4.374 -0.701 4.653
O -2.926 -3.318 4.682
O -1.653 -6.083 0.434
O -7.405 -4.144 7.200
O -5.801 -5.028 0.682
O -2.464 -1.383 2.400
O -1.373 -5.974 4.706
O -6.943 -2.209 4.918
O 0.163 0.115 2.235
O -3.968 1.249 2.391
O -0.246 -1.830 4.410
O -5.090 -2.873 2.666
O -3.660 1.467 6.622
O -3.584 -5.504 2.694
O -0.966 -4.012 2.415
O -4.779 -2.654 6.934
O -1.771 0.794 4.386
O -2.164 0.597 0.127
O -7.289 -2.419 0.656
O -6.086 1.680 0.357
O -5.495 -4.826 4.947
O -3.202 -3.547 0.416
O 0.459 0.324 6.293
O -4.689 -0.939 0.390
O -0.587 -2.161 0.154
O -5.858 1.922 4.626
O -2.153 -1.164 6.664
O -0.653 -3.792 6.702
O -3.273 -5.284 6.957
O -6.285 -0.023 6.906
O -6.596 -0.243 2.643
Mg -1.120 -4.122 0.294
Mg -4.125 1.138 0.242
Mg -3.814 1.358 4.506
Mg -1.623 0.904 6.493
Mg -5.649 -4.931 2.818
Mg -0.409 -1.969 2.300
Mg -7.550 -4.253 5.067
Mg -5.339 -4.712 7.076
Mg 0.311 0.220 4.264
Mg -7.146 -2.306 2.792
Mg -2.723 -3.222 6.808
Mg -6.836 -2.086 7.049
Mg -6.729 -0.385 0.510
Mg -1.210 -5.835 6.816
Mg -6.432 -0.139 4.774
Mg -1.930 0.687 2.281
Mg -4.934 -2.764 4.800
Mg -2.319 -1.274 4.533
Mg -5.245 -2.983 0.536
Mg -6.005 1.812 2.520
Mg -4.530 -0.815 2.524
Mg -4.220 -0.596 6.782
Mg -3.033 -3.441 2.551
Mg -5.698 2.029 6.732
Mg -1.518 -6.052 2.591
Mg -0.101 -1.752 6.525
Mg -3.437 -5.388 4.826
Mg -2.655 -1.510 0.271
Mg -3.761 -5.581 0.561
Mg -7.836 -4.456 0.800
Ca 0.000 0.000 0.000
Fe -0.809 -3.902 4.558
```

Results
SG ... P4/mmm (123)
Raw total energy ... -5.99 eV per atom

***

Entry 4:
The following is a PBE with a Hubbard U calculation of crystalline Ca3Mg2FeO6 at its relaxed geometry, from Alexandria via LeMat-Bulk.

Structure (extended XYZ):
```
12
Lattice="5.611 0.013 -0.007 -2.792 4.867 -0.007 -0.947 -1.639 5.246" Properties=species:S:1:pos:R:3 pbc="T T T"
Fe 0.000 0.000 0.000
O 1.897 -0.005 1.185
O -0.026 3.246 4.047
O 0.020 0.034 4.045
O 1.852 3.207 1.188
O -0.953 1.641 1.185
O 2.824 1.600 4.047
Mg 0.011 3.247 -0.007
Mg 2.807 1.633 -0.007
Ca 0.936 1.621 2.616
Ca 3.753 -0.006 2.616
Ca -1.881 3.248 2.616
```

Results
SG ... C2/m (12)
Raw total energy ... -6.26 eV per atom

***

Entry 5:
The following is a PBE with a Hubbard U calculation of crystalline CaMg2FeO4 at its relaxed geometry, from Alexandria via LeMat-Bulk.

Structure (extended XYZ):
```
16
Lattice="3.132 0.000 0.000 -1.566 5.367 0.000 0.000 0.000 11.271" Properties=species:S:1:pos:R:3 pbc="T T T"
O 1.566 2.710 9.992
O 0.000 0.000 5.636
O 1.566 2.710 6.915
O 1.566 0.166 2.818
O 0.000 2.657 4.356
O 0.000 0.000 0.000
O 0.000 5.200 8.454
O 0.000 2.657 1.279
Fe 1.566 4.051 8.454
Fe 0.000 1.316 2.818
Mg 1.566 1.389 5.345
Mg 0.000 3.977 5.927
Mg 1.566 1.389 0.291
Mg 0.000 3.977 10.980
Ca 0.000 1.501 8.454
Ca 1.566 3.865 2.818
```

Results
SG ... Cmcm (63)
Raw total energy ... -6.07 eV per atom

***

Entry 6:
The following is a PBE with a Hubbard U calculation of crystalline Ca2MgFeO4 at its relaxed geometry, from Alexandria via LeMat-Bulk.

Structure (extended XYZ):
```
16
Lattice="-3.878 3.936 3.497 -2.218 -5.155 3.355 6.321 1.160 -0.374" Properties=species:S:1:pos:R:3 pbc="T T T"
O -0.283 2.228 3.383
O -3.450 1.681 3.570
O -1.420 -0.368 1.764
O 1.646 0.308 4.713
O 1.562 0.181 1.472
O -1.336 -0.241 5.005
O 3.675 -1.741 2.907
O 0.508 -2.287 3.095
Fe 0.113 -0.030 3.239
Fe 0.000 0.000 0.000
Mg -4.986 1.358 5.174
Mg -1.826 1.938 4.987
Ca -4.156 -3.187 5.104
Ca -0.996 -2.607 4.917
Ca 3.160 0.580 -0.187
Ca 3.273 0.550 3.052
```

Results
SG ... C2/c (15)
Raw total energy ... -6.33 eV per atom

***

Entry 7:
The following is a PBE with a Hubbard U calculation of crystalline Ca2MgFeSi4O12 at its relaxed geometry, from Alexandria via LeMat-Bulk.

Structure (extended XYZ):
```
20
Lattice="5.339 0.006 0.006 1.363 6.588 0.030 1.363 0.354 6.578" Properties=species:S:1:pos:R:3 pbc="T T T"
O 2.141 5.996 2.602
O 4.571 5.569 6.405
O 3.494 0.276 1.366
O 0.902 1.366 0.187
O 4.941 2.322 2.406
O 5.797 4.609 4.185
O 2.268 2.540 2.216
O 3.124 4.430 4.413
O 7.164 6.693 5.259
O 3.274 0.989 4.040
O 4.792 2.863 5.824
O 5.925 4.053 0.753
Ca 1.363 2.216 4.622
Ca 4.033 4.733 1.984
Fe 1.363 5.995 0.652
Si 0.863 2.559 1.284
Si 7.202 5.539 4.121
Si 4.545 4.367 5.320
Si 3.520 1.418 2.513
Mg 4.033 0.933 5.975
```

Results
SG ... C2 (5)
Raw total energy ... -7.40 eV per atom

***

Values of magnetization, in order: 0.203, 0.247, 0.062, 0.333, 0.500, 0.500, 0.200, all in μB/atom.
Values of V, in order: 13.3, 11.3, 9.8, 11.9, 11.8, 12.0, 11.6, all in A^3/atom.